Density functional theory data (PBE+U) for a relaxed Ta2NiPtF crystal.

Cell lengths 4.8595, 4.8595, 4.5960 Å; angles 90.00, 90.00, 90.00 degrees
Last column: nearest neighbours and their distance in Å.
Sites, in units of the cell vectors:
Ta1 0.0000 0.5000 0.0000  2 Pt 2.43
Ta2 0.5000 0.0000 0.0000  2 Pt 2.43
Ni1 0.0000 0.0000 0.5000  2 Pt 2.30
Pt1 0.0000 0.0000 0.0000  2 Ni 2.30, 4 Ta 2.43
F1 0.5000 0.5000 0.5000  8 Ta 3.34, 4 Ni 3.44

**Symmetry**: P4/mmm
**VASP energy**: -5.556 eV/atom
**Crystal system**: tetragonal
**Theoretical density**: 9.71 g/cm3